1.
Compound: Ac4CuRu
Source: Alexandria via LeMat-Bulk
Functional: PBE-GGA
Structure: optimized geometry

Output
* E_form: -79 meV per atom
* V: 35.3 Å³/atom
* electronic total energy: -30.28 eV per formula unit

Cell lengths 5.841, 9.204, 7.960 Å; angles 90.00, 98.28, 90.00 degrees
Space group P2_1/m (No. 11)
Unique sites:
Ac (0.020, 0.250, 0.038) x2
Ac (0.091, 0.750, 0.504) x2
Ac (0.467, 0.043, 0.763) x4
Cu (0.388, 0.250, 0.405) x2
Ru (0.459, 0.750, 0.903) x2


2.
Compound: BaZnP2S
Source: Alexandria via LeMat-Bulk
Functional: PBE-GGA
Structure: optimized geometry

Output
* energy relative to the lowest polymorph listed for this composition: 1.270 eV per atom
* formation energy (no corrections): 1.0857 eV per atom
* V: 50.8 Å³/atom
* electronic total energy: -12.72 eV per formula unit

Cell lengths 6.518, 6.518, 5.974 Å; angles 90.00, 90.00, 90.00 degrees
Space group P4/mmm (No. 123)
Unique sites:
Ba (0.000, 0.000, 0.000) x1
Zn (0.500, 0.500, 0.500) x1
P (0.000, 0.500, 0.000) x2
S (0.000, 0.000, 0.500) x1


3.
Compound: Er2InP3Rh12
Source: Alexandria via LeMat-Bulk
Functional: PBE-GGA
Structure: optimized geometry

Output
* E_form: -309 meV per atom
* V: 16.3 Å³/atom
* electronic total energy: -121.88 eV per formula unit

Cell lengths 8.8876, 8.8876, 12.8777 Å; angles 90.00, 90.00, 120.00 degrees
Space group R-3m (No. 166, hexagonal axes)
Unique sites:
Er (0.0000, 0.0000, 0.1257) x6
In (0.0000, 0.0000, 0.5000) x3
P (0.0000, 0.5000, 0.0000) x9
Rh (0.0081, 0.5040, 0.8279) x18
Rh (0.0218, 0.5109, 0.3818) x18


4.
Compound: Mg3SiH2Pd6
Source: Alexandria via LeMat-Bulk
Functional: PBE-GGA
Structure: optimized geometry

Output
* V: 17.0 Å³/atom
* electronic total energy: -53.21 eV per formula unit

Cell lengths 5.5872, 5.5872, 7.5664 Å; angles 90.00, 90.00, 120.00 degrees
Space group P-3m1 (No. 164)
Unique sites:
Mg (0.0000, 0.0000, 0.0000) x1
Mg (0.3333, 0.6667, 0.6242) x2
Si (0.0000, 0.0000, 0.5000) x1
H (0.3333, 0.6667, 0.1514) x2
Pd (0.1710, 0.3419, 0.2827) x6


5.
Compound: SmYHoTh
Source: Alexandria via LeMat-Bulk
Functional: PBE-GGA
Structure: optimized geometry

Output
* energy relative to the lowest polymorph listed for this composition: 0.000 eV per atom
* E_form: 12 meV per atom
* V: 32.4 Å³/atom
* electronic total energy: -23.13 eV per formula unit

Cell lengths 3.6054, 3.6054, 34.5361 Å; angles 90.00, 90.00, 120.00 degrees
Space group R3m (No. 160, hexagonal axes)
Unique sites:
Sm (0.0000, 0.0000, 0.0000) x3
Y (0.0000, 0.0000, 0.8319) x3
Ho (0.0000, 0.0000, 0.2490) x3
Th (0.0000, 0.0000, 0.4159) x3


6.
Compound: MnZn2Re
Source: Alexandria via LeMat-Bulk
Functional: PBE-GGA
Structure: optimized geometry

Output
* energy relative to the lowest polymorph listed for this composition: 0.145 eV per atom
* E_form: 201 meV per atom
* V: 13.9 Å³/atom
* electronic total energy: -23.36 eV per formula unit

Cell lengths 3.735, 3.735, 3.998 Å; angles 90.00, 90.00, 90.00 degrees
Space group P4/mmm (No. 123)
Unique sites:
Mn (0.000, 0.000, 0.000) x1
Zn (0.000, 0.500, 0.500) x2
Re (0.500, 0.500, 0.000) x1


7.
Compound: Tb2SmTe
Source: Alexandria via LeMat-Bulk
Functional: PBE-GGA
Structure: optimized geometry

Output
* energy relative to the lowest polymorph listed for this composition: 0.105 eV per atom
* formation energy (no corrections): -0.5612 eV per atom
* V: 30.1 Å³/atom
* electronic total energy: -19.37 eV per formula unit

Cell lengths 3.883, 3.883, 7.981 Å; angles 90.00, 90.00, 90.00 degrees
Space group P4/mmm (No. 123)
Unique sites:
Tb (0.000, 0.000, 0.221) x2
Sm (0.500, 0.500, 0.500) x1
Te (0.500, 0.500, 0.000) x1


8.
Compound: CdTe3Os
Source: Alexandria via LeMat-Bulk
Functional: PBE-GGA
Structure: optimized geometry

Output
* energy relative to the lowest polymorph listed for this composition: 0.000 eV per atom
* formation energy (no corrections): 0.6360 eV per atom
* V: 29.7 Å³/atom
* electronic total energy: -18.39 eV per formula unit

Cell lengths 5.296, 5.296, 5.296 Å; angles 90.00, 90.00, 90.00 degrees
Space group Pm-3m (No. 221)
Unique sites:
Cd (0.000, 0.000, 0.000) x1
Te (0.000, 0.500, 0.500) x3
Os (0.500, 0.500, 0.500) x1


9.
Compound: LiEuZnPd
Source: Alexandria via LeMat-Bulk
Functional: PBE-GGA
Structure: optimized geometry

Output
* E_form: -333 meV per atom
* V: 19.7 Å³/atom
* electronic total energy: -19.99 eV per formula unit

Cell lengths 6.810, 6.810, 6.810 Å; angles 90.00, 90.00, 90.00 degrees
Space group F-43m (No. 216)
Unique sites:
Li (0.000, 0.000, 0.000) x4
Eu (0.250, 0.250, 0.750) x4
Zn (0.250, 0.250, 0.250) x4
Pd (0.000, 0.000, 0.500) x4


10.
Compound: Y3ErPd3
Source: Alexandria via LeMat-Bulk
Functional: PBE-GGA
Structure: optimized geometry

Output
* E_form: -699 meV per atom
* V: 24.4 Å³/atom
* electronic total energy: -44.42 eV per formula unit

Cell lengths 9.229, 10.417, 7.110 Å; angles 90.00, 92.21, 90.00 degrees
Space group C2/m (No. 12)
Unique sites:
Y (0.000, 0.176, 0.000) x4
Y (0.000, 0.253, 0.500) x4
Y (0.152, 0.500, 0.866) x4
Er (0.241, 0.500, 0.376) x4
Pd (0.062, 0.000, 0.311) x4
Pd (0.241, 0.259, 0.219) x8


11.
Compound: CePa2Ge2Pd2
Source: Alexandria via LeMat-Bulk
Functional: PBE-GGA
Structure: optimized geometry

Output
* E_form: -541 meV per atom
* V: 21.5 Å³/atom
* electronic total energy: -48.33 eV per formula unit

Cell lengths 4.5060, 4.5060, 25.6694 Å; angles 90.00, 90.00, 120.00 degrees
Space group R-3m (No. 166, hexagonal axes)
Unique sites:
Ce (0.0000, 0.0000, 0.0000) x3
Pa (0.0000, 0.0000, 0.1413) x6
Ge (0.0000, 0.0000, 0.2654) x6
Pd (0.0000, 0.0000, 0.4289) x6